# MgTa2As

An optimized crystal structure of MgTa2As (GGA-PBE, Alexandria).

The structure in POSCAR format:
```
MgTa2As
1.0
-0.3277 -4.5228 0.9196
1.5403 0.3839 2.4370
-4.2816 0.9464 3.1288
Ta Mg As
2 1 1
Direct
0.0000 0.0876 0.9961
0.0000 0.4124 0.5039
0.5000 0.7500 0.7500
0.5000 0.2500 0.2500
```

Results
The formation energy is 90.2 meV per atom. As for the relative energy among the computed polymorphs: 117 meV/atom. The calculation puts the magnetic moment at 0.00 μB/f.u. The value obtained for the density of states at the Fermi level is 2.040 states/eV/f.u.


# MgTa2As

An optimized crystal structure of MgTa2As (GGA-PBE, Alexandria).

The structure in POSCAR format:
```
MgTa2As
1.0
-3.9555 2.3912 -0.4384
-1.3566 -1.4763 4.1876
1.4028 2.5699 1.3604
As Mg Ta
1 1 2
Direct
0.5000 0.0000 0.5000
0.0000 0.5000 0.5000
0.5000 0.5000 0.0000
0.0000 0.0000 0.0000
```

Results
The formation energy is 339.9 meV per atom. As for the relative energy among the computed polymorphs: 367 meV/atom. The calculation puts the magnetic moment at 0.00 μB/f.u. The value obtained for the density of states at the Fermi level is 3.527 states/eV/f.u.


# MgTa2As

An optimized crystal structure of MgTa2As (GGA-PBE, Alexandria).

The structure in POSCAR format:
```
MgTa2As
1.0
-0.2605 1.3224 2.6742
-2.5879 0.4761 -1.4297
-3.2098 -7.3984 3.3459
As Mg Ta
1 1 2
Direct
0.0000 0.0000 0.4808
0.5000 0.5000 0.7468
0.5000 0.5000 0.2590
0.0000 0.0000 0.0133
```

Results
The formation energy is -26.2 meV per atom. As for the relative energy among the computed polymorphs: 0 meV/atom. The calculation puts the magnetic moment at 0.00 μB/f.u. The value obtained for the density of states at the Fermi level is 2.735 states/eV/f.u.


# MgTa2As

An optimized crystal structure of MgTa2As (GGA-PBE, Alexandria).

The structure in POSCAR format:
```
MgTa2As
1.0
-2.0340 4.6518 1.2345
-5.2152 0.0618 0.3132
3.7818 -3.0172 1.9736
As Ta Mg
1 2 1
Direct
0.2500 0.7500 0.5000
0.5000 0.5000 0.0000
0.0000 0.0000 0.0000
0.7500 0.2500 0.5000
```

Results
The formation energy is 147.7 meV per atom. As for the relative energy among the computed polymorphs: 174 meV/atom. The calculation puts the magnetic moment at 0.00 μB/f.u. The value obtained for the density of states at the Fermi level is 2.774 states/eV/f.u.


# MgTa2As

An optimized crystal structure of MgTa2As (GGA-PBE, Alexandria).

The structure in POSCAR format:
```
MgTa2As
1.0
-2.4553 -2.2172 -4.2975
-3.5017 -3.9997 1.0739
1.1626 5.2216 0.8921
Mg As Ta
1 1 2
Direct
0.7348 0.2348 0.5000
0.4900 0.4900 0.0000
0.2660 0.7660 0.5000
0.0092 0.0092 0.0000
```

Results
The formation energy is 117.1 meV per atom. As for the relative energy among the computed polymorphs: 144 meV/atom. The calculation puts the magnetic moment at 0.00 μB/f.u. The value obtained for the density of states at the Fermi level is 3.162 states/eV/f.u.


# MgTa2As

An optimized crystal structure of MgTa2As (GGA-PBE, Alexandria).

The structure in POSCAR format:
```
MgTa2As
1.0
2.9632 0.0002 0.0000
-0.9239 2.8155 0.0000
0.0000 0.0000 8.7612
Ta Mg As
2 1 1
Direct
0.0000 0.0000 0.0263
0.0000 0.0000 0.4737
0.5000 0.5000 0.7500
0.5000 0.5000 0.2500
```

Results
The formation energy is 117.2 meV per atom. As for the relative energy among the computed polymorphs: 144 meV/atom. The calculation puts the magnetic moment at 0.00 μB/f.u. The value obtained for the density of states at the Fermi level is 2.338 states/eV/f.u.


# MgTa2As

An optimized crystal structure of MgTa2As (GGA-PBE, Alexandria).

The structure in POSCAR format:
```
MgTa2As
1.0
0.0000 3.2671 3.2671
3.2671 0.0000 3.2671
3.2671 3.2671 0.0000
Ta Mg As
2 1 1
Direct
0.7500 0.7500 0.7500
0.2500 0.2500 0.2500
0.0000 0.0000 0.0000
0.5000 0.5000 0.5000
```

Results
The formation energy is 439.6 meV per atom. As for the relative energy among the computed polymorphs: 466 meV/atom. The calculation puts the magnetic moment at 0.00 μB/f.u. The value obtained for the density of states at the Fermi level is 7.575 states/eV/f.u.


# MgTa2As

An optimized crystal structure of MgTa2As (GGA-PBE, Alexandria).

The structure in POSCAR format:
```
MgTa2As
1.0
-2.1652 -0.8935 4.2071
0.6225 -4.2627 -2.1514
2.8184 -0.2895 1.3890
Ta As Mg
2 1 1
Direct
0.5000 0.5000 0.0000
0.0000 0.0000 0.0000
0.5000 0.0000 0.5000
0.0000 0.5000 0.5000
```

Results
The formation energy is 242.1 meV per atom. As for the relative energy among the computed polymorphs: 269 meV/atom. The calculation puts the magnetic moment at 0.00 μB/f.u. The value obtained for the density of states at the Fermi level is 4.125 states/eV/f.u.


# MgTa2As

An optimized crystal structure of MgTa2As (GGA-PBE, Alexandria).

The structure in POSCAR format:
```
MgTa2As
1.0
3.1855 0.0000 0.0000
0.0000 3.1855 0.0000
0.0000 0.0000 7.1984
Mg Ta As
1 2 1
Direct
0.5000 0.5000 0.7500
0.0000 0.0000 0.0425
0.0000 0.0000 0.4575
0.5000 0.5000 0.2500
```

Results
The formation energy is 108.1 meV per atom. As for the relative energy among the computed polymorphs: 135 meV/atom. The calculation puts the magnetic moment at 0.00 μB/f.u. The value obtained for the density of states at the Fermi level is 2.277 states/eV/f.u.


# Mg4TaAs

An optimized crystal structure of Mg4TaAs (GGA-PBE, Alexandria).

The structure in POSCAR format:
```
Mg4TaAs
1.0
0.0000 3.9442 3.9442
3.9442 0.0000 3.9442
3.9442 3.9442 0.0000
Ta Mg As
1 4 1
Direct
0.7500 0.7500 0.7500
0.3758 0.8727 0.3758
0.3758 0.3758 0.8727
0.3758 0.3758 0.3758
0.8727 0.3758 0.3758
0.0000 0.0000 0.0000
```

Results
The formation energy is 501.6 meV per atom. The calculation puts the magnetic moment at 2.71 μB/f.u. The value obtained for the density of states at the Fermi level is 4.815 states/eV/f.u.


# MgTa2As2

An optimized crystal structure of MgTa2As2 (GGA-PBE, Alexandria).

The structure in POSCAR format:
```
MgTa2As2
1.0
-4.6106 -4.7363 3.0239
4.3422 -5.4856 -1.9714
1.6238 0.2531 2.8722
Ta As Mg
4 4 2
Direct
0.1459 0.6459 0.5000
0.6459 0.8541 0.5000
0.3541 0.1459 0.5000
0.8541 0.3541 0.5000
0.6473 0.1473 0.0000
0.3527 0.8527 0.0000
0.8527 0.6473 0.0000
0.1473 0.3527 0.0000
0.0000 0.0000 0.0000
0.5000 0.5000 0.0000
```

Results
The formation energy is -212.8 meV per atom. As for the relative energy among the computed polymorphs: 0 meV/atom. The calculation puts the magnetic moment at 0.00 μB/f.u. The value obtained for the density of states at the Fermi level is 0.762 states/eV/f.u.


# MgTa2As

An optimized crystal structure of MgTa2As (GGA-PBE, Alexandria).

The structure in POSCAR format:
```
MgTa2As
1.0
5.4756 0.0106 0.0336
-2.5034 4.7817 -0.0288
0.4688 0.8567 2.7208
Mg Ta As
1 2 1
Direct
0.5000 0.5000 0.0000
0.5000 0.0000 0.5000
0.0000 0.0000 0.0000
0.0000 0.5000 0.5000
```

Results
The formation energy is 175.8 meV per atom. As for the relative energy among the computed polymorphs: 202 meV/atom. The calculation puts the magnetic moment at 0.00 μB/f.u. The value obtained for the density of states at the Fermi level is 2.551 states/eV/f.u.